Computed, not measured: DyTlBi2 after structural relaxation at the PBE-GGA level of DFT.

**Energy relative to the elements**: -0.21 eV/atom
**Uncorrected energy**: -46.77 eV per cell
**Offset from the most stable computed form**: 0.66 eV/f.u.
**D(E_F)**: 5.44 states/eV per cell

```
data_DyTlBi2
_space_group_name_H-M_alt 'R 3 m'
_space_group_IT_number 160
_space_group_name_Hall 'R 3 -2"'
_cell_length_a 5.1373
_cell_length_b 5.1373
_cell_length_c 18.2612
_cell_angle_alpha 90.00
_cell_angle_beta 90.00
_cell_angle_gamma 120.00
loop_
_atom_site_label
_atom_site_type_symbol
_atom_site_fract_x
_atom_site_fract_y
_atom_site_fract_z
_atom_site_occupancy
Dy1 Dy 0.0000 0.0000 0.0000 1
Tl1 Tl 0.0000 0.0000 0.8212 1
Bi1 Bi 0.0000 0.0000 0.4090 1
Bi2 Bi 0.0000 0.0000 0.5890 1
```

Computed, not measured: Tm6ZnCd5 after structural relaxation at the PBE-GGA level of DFT.

**Energy relative to the elements**: -0.31 eV/atom
**Uncorrected energy**: -72.86 eV per cell
**D(E_F)**: 19.87 states/eV per cell

```
data_Tm6ZnCd5
_space_group_name_H-M_alt 'C m m m'
_space_group_IT_number 65
_space_group_name_Hall '-C 2 2'
_cell_length_a 5.175
_cell_length_b 15.573
_cell_length_c 7.350
_cell_angle_alpha 90.00
_cell_angle_beta 90.00
_cell_angle_gamma 90.00
loop_
_atom_site_label
_atom_site_type_symbol
_atom_site_fract_x
_atom_site_fract_y
_atom_site_fract_z
_atom_site_occupancy
Tm1 Tm 0.000 0.000 0.241 1
Tm2 Tm 0.000 0.337 0.246 1
Zn1 Zn 0.000 0.500 0.000 1
Cd1 Cd 0.000 0.168 0.500 1
Cd2 Cd 0.000 0.169 0.000 1
Cd3 Cd 0.000 0.500 0.500 1
```

Computed, not measured: LiNbGa3 after structural relaxation at the PBE-GGA level of DFT.

**Energy relative to the elements**: 0.30 eV/atom
**Uncorrected energy**: -19.56 eV per cell
**Offset from the most stable computed form**: 0.00 eV/f.u.
**D(E_F)**: 3.15 states/eV per cell

```
data_LiNbGa3
_space_group_name_H-M_alt 'P m -3 m'
_space_group_IT_number 221
_space_group_name_Hall '-P 4 2 3'
_cell_length_a 5.056
_cell_length_b 5.056
_cell_length_c 5.056
_cell_angle_alpha 90.00
_cell_angle_beta 90.00
_cell_angle_gamma 90.00
loop_
_atom_site_label
_atom_site_type_symbol
_atom_site_fract_x
_atom_site_fract_y
_atom_site_fract_z
_atom_site_occupancy
Li1 Li 0.000 0.000 0.000 1
Nb1 Nb 0.500 0.500 0.500 1
Ga1 Ga 0.000 0.500 0.500 1
```

Computed, not measured: ScCd9Ag3 after structural relaxation at the PBE-GGA level of DFT.

**Energy relative to the elements**: -0.05 eV/atom
**Uncorrected energy**: -47.57 eV per cell
**D(E_F)**: 7.23 states/eV per cell

```
data_ScCd9Ag3
_space_group_name_H-M_alt 'C 1 2/m 1'
_space_group_IT_number 12
_cell_length_a 5.565
_cell_length_b 14.074
_cell_length_c 7.586
_cell_angle_alpha 90.00
_cell_angle_beta 111.14
_cell_angle_gamma 90.00
loop_
_space_group_symop_operation_xyz
'x,y,z'
'-x,-y,-z'
'-x,y,-z'
'x,-y,z'
'x+1/2,y+1/2,z'
'-x+1/2,-y+1/2,-z'
'-x+1/2,y+1/2,-z'
'x+1/2,-y+1/2,z'
loop_
_atom_site_label
_atom_site_type_symbol
_atom_site_fract_x
_atom_site_fract_y
_atom_site_fract_z
_atom_site_occupancy
Sc1 Sc 0.000 0.000 0.000 1
Cd1 Cd 0.000 0.500 0.500 1
Cd2 Cd 0.109 0.395 0.206 1
Cd3 Cd 0.167 0.175 0.340 1
Ag1 Ag 0.000 0.000 0.500 1
Ag2 Ag 0.250 0.250 0.000 1
```

Computed, not measured: Cr2WN after structural relaxation at the PBE-GGA level of DFT.

**Uncorrected energy**: -119.03 eV per cell
**Raw formation energy**: 82 kJ/mol of formula units
**D(E_F)**: 11.06 states/eV per cell

```
data_Cr2WN
_space_group_name_H-M_alt 'R -3 m'
_space_group_IT_number 166
_space_group_name_Hall '-R 3 2"'
_cell_length_a 2.8049
_cell_length_b 2.8049
_cell_length_c 21.2896
_cell_angle_alpha 90.00
_cell_angle_beta 90.00
_cell_angle_gamma 120.00
loop_
_atom_site_label
_atom_site_type_symbol
_atom_site_fract_x
_atom_site_fract_y
_atom_site_fract_z
_atom_site_occupancy
Cr1 Cr 0.0000 0.0000 0.1166 1
W1 W 0.0000 0.0000 0.0000 1
N1 N 0.0000 0.0000 0.5000 1
```

Computed, not measured: ZnTcMo2Os after structural relaxation at the PBE-GGA level of DFT.

**Energy relative to the elements**: 1.88 eV/atom
**Uncorrected energy**: -35.12 eV per cell
**D(E_F)**: 6.53 states/eV per cell

```
data_ZnTcMo2Os
_space_group_name_H-M_alt 'P 4/m m m'
_space_group_IT_number 123
_space_group_name_Hall '-P 4 2'
_cell_length_a 4.593
_cell_length_b 4.593
_cell_length_c 4.585
_cell_angle_alpha 90.00
_cell_angle_beta 90.00
_cell_angle_gamma 90.00
loop_
_atom_site_label
_atom_site_type_symbol
_atom_site_fract_x
_atom_site_fract_y
_atom_site_fract_z
_atom_site_occupancy
Zn1 Zn 0.000 0.000 0.000 1
Tc1 Tc 0.000 0.000 0.500 1
Mo1 Mo 0.000 0.500 0.500 1
Os1 Os 0.500 0.500 0.000 1
```